## CsSiCl2 (PBE-GGA)

Data for a relaxed CsSiCl2 crystal.

Output
The total moment comes out at 1.000 μB/cell. Its space-group type is No. 225. The density of states at the Fermi level comes out at 1.044 states/eV/atom. Its crystal system is cubic. The theoretical density comes out at 3.20 Mg/m³. The total energy is -2.843 eV/atom.

Cell lengths 5.5391, 5.5391, 5.5391 Å; angles 60.00, 60.00, 60.00 degrees
Closest atoms and distances in Å follow each position.
Sites, in units of the cell vectors:
Cs: 0.5000 0.5000 0.5000  8 Cl 3.39
Si: 0.0000 0.0000 0.0000  8 Cl 3.39
Cl: 0.2500 0.2500 0.2500  4 Cs 3.39, 4 Si 3.39
Cl: 0.7500 0.7500 0.7500  4 Cs 3.39, 4 Si 3.39